1.
First-principles (PBE-GGA) data for an optimized crystal structure of Ac2NdRh4Pb3, as listed in Alexandria.

The calculation puts the volume at 25.0 A^3/atom.

a = 4.585 Å, b = 4.585 Å, c = 11.913 Å
α = 90.00°, β = 90.00°, γ = 90.00°
Space group P-4m2 (No. 115)
Asymmetric unit:
Ac 0.000 0.500 0.233 x2
Nd 0.000 0.000 0.500 x1
Rh 0.000 0.000 0.000 x1
Rh 0.000 0.500 0.649 x2
Rh 0.500 0.500 0.000 x1
Pb 0.000 0.500 0.876 x2
Pb 0.500 0.500 0.500 x1


2.
First-principles (PBE-GGA) data for an optimized crystal structure of AcNdRhPb, as listed in Alexandria.

The calculation puts the volume at 28.9 A^3/atom.

a = 7.732 Å, b = 7.732 Å, c = 7.732 Å
α = 90.00°, β = 90.00°, γ = 90.00°
Space group F-43m (No. 216)
Asymmetric unit:
Ac 0.000 0.000 0.000 x4
Nd 0.000 0.000 0.500 x4
Rh 0.250 0.250 0.250 x4
Pb 0.250 0.250 0.750 x4


3.
First-principles (PBE-GGA) data for an optimized crystal structure of AcNdSbPb, as listed in Alexandria.

The value obtained for the uncorrected formation energy is -2.486 eV per formula unit. The calculation puts the volume at 32.9 A^3/atom.

a = 8.071 Å, b = 8.071 Å, c = 8.071 Å
α = 90.00°, β = 90.00°, γ = 90.00°
Space group F-43m (No. 216)
Asymmetric unit:
Ac 0.000 0.000 0.000 x4
Nd 0.000 0.000 0.500 x4
Sb 0.250 0.250 0.750 x4
Pb 0.250 0.250 0.250 x4


no.,electronic total energy (eV per atom),spin magnetization (μB/atom)
1,-5.838,0.000
2,-5.357,0.000
3,-4.798,0.000